No. 1
A geometry-optimized AcY2Tm2 structure. Source: the Alexandria database, functional PBE-GGA.

a b c (Å): 8.445 8.445 8.445
angles (deg): 139.13 85.08 109.24
Fractional coordinates of all 10 atoms:
Ac: 0.385 0.135 0.250
Ac: 0.615 0.865 0.750
Y: 0.103 0.161 0.942
Y: 0.281 0.839 0.442
Y: 0.719 0.161 0.558
Y: 0.897 0.839 0.058
Tm: 0.164 0.551 0.613
Tm: 0.438 0.551 0.887
Tm: 0.562 0.449 0.113
Tm: 0.836 0.449 0.387

Output
symmetry: Imma, No. 74
magnetization: 0.0 μB per cell
formation enthalpy at 0 K: 241 meV per atom
D(E_F): 1.225 states/eV/atom

***

No. 2
A geometry-optimized BaErSi structure. Source: the Alexandria database, functional PBE-GGA.

a b c (Å): 5.013 5.013 7.686
angles (deg): 90.00 90.00 90.00
Fractional coordinates of all 6 atoms:
Ba: 0.250 0.250 0.137
Ba: 0.750 0.750 0.863
Er: 0.250 0.750 0.500
Er: 0.750 0.250 0.500
Si: 0.250 0.250 0.691
Si: 0.750 0.750 0.309

Output
symmetry: P4/nmm, No. 129
magnetization: 0.0 μB per cell
formation energy without anion corrections: -40.2 kJ per mole of atoms
D(E_F): 1.058 states/eV/atom

***

No. 3
A geometry-optimized Ta3Co2Ru structure. Source: the Alexandria database, functional PBE-GGA.

a b c (Å): 7.136 7.136 3.007
angles (deg): 90.00 90.00 144.32
Fractional coordinates of all 6 atoms:
Ta: 0.000 0.000 0.000
Ta: 0.322 0.678 0.000
Ta: 0.678 0.322 0.000
Co: 0.149 0.851 0.500
Co: 0.851 0.149 0.500
Ru: 0.500 0.500 0.500

Output
symmetry: Cmmm, No. 65
magnetization: 0.0 μB per cell
formation enthalpy at 0 K: -197 meV per atom
D(E_F): 1.110 states/eV/atom

***

No. 4
A geometry-optimized Na2BrN structure. Source: the Alexandria database, functional PBE-GGA.

a b c (Å): 6.260 6.260 6.260
angles (deg): 111.39 111.39 105.69
Fractional coordinates of all 8 atoms:
Na: 0.074 0.625 0.949
Na: 0.375 0.324 0.449
Na: 0.676 0.125 0.051
Na: 0.875 0.926 0.551
Br: 0.250 0.750 0.500
Br: 0.500 0.500 0.000
N: 0.000 0.000 0.000
N: 0.750 0.250 0.500

Output
symmetry: I-42d, No. 122
magnetization: 4.0 μB per cell
formation energy without anion corrections: 1.1 kJ per mole of atoms
D(E_F): 0.115 states/eV/atom
ΔE to the lowest computed polymorph: 0.0 kJ/mol of atoms

***

No. 5
A geometry-optimized Y2CuPt2 structure. Source: the Alexandria database, functional PBE-GGA.

a b c (Å): 7.472 7.472 3.796
angles (deg): 90.00 90.00 90.00
Fractional coordinates of all 10 atoms:
Y: 0.168 0.332 0.000
Y: 0.332 0.832 0.000
Y: 0.668 0.168 0.000
Y: 0.832 0.668 0.000
Cu: 0.000 0.000 0.500
Cu: 0.500 0.500 0.500
Pt: 0.136 0.636 0.500
Pt: 0.364 0.136 0.500
Pt: 0.636 0.864 0.500
Pt: 0.864 0.364 0.500

Output
symmetry: P4/mbm, No. 127
magnetization: 0.0 μB per cell
formation enthalpy at 0 K: -895 meV per atom
D(E_F): 0.595 states/eV/atom

***

No. 6
A geometry-optimized La12PrTm3 structure. Source: the Alexandria database, functional PBE-GGA.

a b c (Å): 5.204 5.204 20.847
angles (deg): 90.00 90.00 90.00
Fractional coordinates of all 16 atoms:
La: 0.000 0.000 0.000
La: 0.000 0.000 0.248
La: 0.000 0.000 0.500
La: 0.000 0.000 0.752
La: 0.000 0.500 0.124
La: 0.000 0.500 0.373
La: 0.000 0.500 0.627
La: 0.000 0.500 0.876
La: 0.500 0.000 0.124
La: 0.500 0.000 0.373
La: 0.500 0.000 0.627
La: 0.500 0.000 0.876
Pr: 0.500 0.500 0.500
Tm: 0.500 0.500 0.000
Tm: 0.500 0.500 0.248
Tm: 0.500 0.500 0.752

Output
symmetry: P4/mmm, No. 123
magnetization: 0.0 μB per cell
formation enthalpy at 0 K: 8 meV per atom
D(E_F): 1.400 states/eV/atom

***

No. 7
A geometry-optimized SrLa2TlNi structure. Source: the Alexandria database, functional PBE-GGA.

a b c (Å): 5.389 5.389 5.809
angles (deg): 90.00 90.00 90.00
Fractional coordinates of all 5 atoms:
Sr: 0.000 0.000 0.000
La: 0.000 0.500 0.500
La: 0.500 0.000 0.500
Tl: 0.500 0.500 0.000
Ni: 0.000 0.000 0.500

Output
symmetry: P4/mmm, No. 123
magnetization: 0.0 μB per cell
formation enthalpy at 0 K: -157 meV per atom
D(E_F): 1.443 states/eV/atom
ΔE to the lowest computed polymorph: 0.0 kJ/mol of atoms

***

No. 8
A geometry-optimized PaGa2Ni3 structure. Source: the Alexandria database, functional PBE-GGA.

a b c (Å): 4.816 9.215 4.156
angles (deg): 90.00 90.00 90.00
Fractional coordinates of all 12 atoms:
Pa: 0.250 0.250 0.187
Pa: 0.750 0.750 0.813
Ga: 0.250 0.600 0.184
Ga: 0.250 0.900 0.184
Ga: 0.750 0.100 0.816
Ga: 0.750 0.400 0.816
Ni: 0.250 0.034 0.677
Ni: 0.250 0.466 0.677
Ni: 0.250 0.750 0.675
Ni: 0.750 0.250 0.325
Ni: 0.750 0.534 0.323
Ni: 0.750 0.966 0.323

Output
symmetry: Pmmn, No. 59
magnetization: 0.0 μB per cell
formation enthalpy at 0 K: -350 meV per atom
D(E_F): 0.598 states/eV/atom
ΔE to the lowest computed polymorph: 6.4 kJ/mol of atoms

***

Among the records above, which one has the lowest D(E_F)?
Na2BrN

***

The highest D(E_F) belongs to which entry?
SrLa2TlNi

***

What is the D(E_F) in the fourth record?
0.115 states/eV/atom